# 1
KCo2Se, relaxed, DFT GGA-PBEsol; Fermi-level density of states = 4.29 states/eV/cell; size of the total moment = 3.33 μB per formula unit; DFT total energy = -4.817 eV/atom
1.0
3.135 0.000 0.000
0.000 3.135 0.000
0.000 0.000 7.357
K Co Se
1 2 1
direct
0.000 0.000 0.000 K
0.000 0.000 0.517 Co
0.500 0.500 0.649 Co
0.500 0.500 0.335 Se

# 2
KCo2Se2, relaxed, DFT GGA-PBEsol; Fermi-level density of states = 3.84 states/eV/cell; size of the total moment = 1.82 μB per formula unit; DFT total energy = -5.364 eV/atom; energy relative to the lowest polymorph listed for this composition = 0 meV per atom
1.0
-1.905 1.905 6.492
1.905 -1.905 6.492
1.905 1.905 -6.492
K Co Se
1 2 2
direct
0.000 0.000 0.000 K
0.250 0.750 0.500 Co
0.750 0.250 0.500 Co
0.351 0.351 0.000 Se
0.649 0.649 0.000 Se

# 3
K6CoSe4, relaxed, DFT GGA-PBEsol; Fermi-level density of states = 1.98 states/eV/cell; size of the total moment = 3.00 μB per formula unit; DFT total energy = -3.621 eV/atom
1.0
10.027 0.000 0.000
-5.014 8.684 0.000
0.000 0.000 7.826
K Co Se
12 2 8
direct
0.055 0.527 0.000 K
0.147 0.293 0.680 K
0.147 0.853 0.680 K
0.293 0.147 0.180 K
0.473 0.527 0.000 K
0.473 0.945 0.000 K
0.527 0.055 0.500 K
0.527 0.473 0.500 K
0.707 0.853 0.680 K
0.853 0.147 0.180 K
0.853 0.707 0.180 K
0.945 0.473 0.500 K
0.333 0.667 0.386 Co
0.667 0.333 0.886 Co
0.200 0.399 0.288 Se
0.200 0.800 0.288 Se
0.333 0.667 0.697 Se
0.399 0.200 0.788 Se
0.601 0.800 0.288 Se
0.667 0.333 0.197 Se
0.800 0.200 0.788 Se
0.800 0.601 0.788 Se

# 4
KCoSe2, relaxed, DFT GGA-PBEsol; Fermi-level density of states = 4.36 states/eV/cell; size of the total moment = 2.14 μB per formula unit; DFT total energy = -3.960 eV/atom
1.0
5.409 0.000 0.000
0.000 5.409 0.000
0.000 0.000 2.752
K Co Se
1 1 2
direct
0.000 0.000 0.000 K
0.500 0.500 0.000 Co
0.000 0.500 0.500 Se
0.500 0.000 0.500 Se

# 5
KCo2Se, relaxed, DFT GGA-PBEsol; Fermi-level density of states = 3.03 states/eV/cell; size of the total moment = 2.52 μB per formula unit; DFT total energy = -5.097 eV/atom
1.0
1.988 1.148 5.839
-1.988 1.148 5.839
0.000 -2.296 5.839
K Co Se
1 2 1
direct
0.000 0.000 0.000 K
0.487 0.487 0.487 Co
0.810 0.810 0.810 Co
0.194 0.194 0.194 Se

# 6
KCo4Se, relaxed, DFT GGA-PBEsol; Fermi-level density of states = 5.24 states/eV/cell; size of the total moment = 7.05 μB per formula unit; DFT total energy = -5.312 eV/atom
1.0
0.000 3.513 3.513
3.513 0.000 3.513
3.513 3.513 0.000
K Co Se
1 4 1
direct
0.000 0.000 0.000 K
0.127 0.624 0.624 Co
0.624 0.127 0.624 Co
0.624 0.624 0.127 Co
0.624 0.624 0.624 Co
0.250 0.250 0.250 Se